A plane-wave DFT calculation with PBE was carried out for a geometry-optimized Li2TaW structure.

Computed properties:
Energy (eV per cell): -26.850
Calculated volume (Å³ per atom): 16.9
Total magnetization (μB per atom): 0.00

Lattice parameters (Å, degrees): 2.5657 4.4322 5.9449 90.00 90.00 90.00
Closest atoms and distances in Å follow each position.
Positions (direct):
Li  0.0000  0.0000  0.0077  2 Li 2.57
Li  0.5000  0.5000  0.2358  2 Li 2.57
Ta  0.0000  0.0000  0.5200  2 Ta 2.57, 4 W 2.87
W  0.5000  0.5000  0.7365  2 W 2.57, 4 Ta 2.87